Version w
{
  "formula": "K2BaSrN",
  "functional": "PBE-GGA",
  "state": "optimized geometry",
  "vol_a3_per_atom": 45.41,
  "dos_at_fermi_per_ev_fu": 5.95,
  "lattice_angstrom": [[6.7860, 0.0000, 0.0000], [0.0000, 6.7860, 0.0000], [0.0000, 0.0000, 4.9306]],
  "species": ["K", "K", "Ba", "Sr", "N"],
  "frac_coords": [[0.0000, 0.5000, 0.0000], [0.5000, 0.0000, 0.0000], [0.0000, 0.0000, 0.5000], [0.5000, 0.5000, 0.5000], [0.0000, 0.0000, 0.0000]]
}


Version x
{
  "formula": "K2BaSrN",
  "functional": "PBE-GGA",
  "state": "optimized geometry",
  "vol_a3_per_atom": 43.13,
  "dos_at_fermi_per_ev_fu": 8.20,
  "lattice_angstrom": [[6.5780, 0.0000, 0.0000], [0.0000, 6.5780, 0.0000], [0.0000, 0.0000, 4.9837]],
  "species": ["K", "K", "Ba", "Sr", "N"],
  "frac_coords": [[0.0000, 0.5000, 0.0000], [0.5000, 0.0000, 0.0000], [0.0000, 0.0000, 0.5000], [0.5000, 0.5000, 0.5000], [0.5000, 0.5000, 0.0000]]
}


Which of them is the most stable? Correct choice: version w.


Version w
{
  "formula": "KBaTe2N",
  "functional": "PBE-GGA",
  "state": "optimized geometry",
  "vol_a3_per_atom": 48.34,
  "dos_at_fermi_per_ev_fu": 5.39,
  "lattice_angstrom": [[6.7299, 0.0000, 0.0000], [0.0000, 6.7299, 0.0000], [0.0000, 0.0000, 5.3366]],
  "species": ["K", "Ba", "Te", "Te", "N"],
  "frac_coords": [[0.0000, 0.0000, 0.0000], [0.5000, 0.5000, 0.5000], [0.0000, 0.5000, 0.5000], [0.5000, 0.0000, 0.5000], [0.5000, 0.5000, 0.0000]]
}


Version x
{
  "formula": "KBaTe2N",
  "functional": "PBE-GGA",
  "state": "optimized geometry",
  "vol_a3_per_atom": 36.86,
  "dos_at_fermi_per_ev_fu": 7.75,
  "lattice_angstrom": [[6.1021, 0.0000, 0.0000], [0.0000, 6.1021, 0.0000], [0.0000, 0.0000, 4.9494]],
  "species": ["K", "Ba", "Te", "Te", "N"],
  "frac_coords": [[0.0000, 0.0000, 0.0000], [0.5000, 0.5000, 0.5000], [0.0000, 0.5000, 0.0000], [0.5000, 0.0000, 0.0000], [0.0000, 0.0000, 0.5000]]
}


Which of them is the most stable? Correct choice: version w.


Version w
{
  "formula": "K2BaNa2",
  "functional": "PBE-GGA",
  "state": "optimized geometry",
  "vol_a3_per_atom": 56.15,
  "dos_at_fermi_per_ev_fu": 4.59,
  "lattice_angstrom": [[11.0715, 0.0000, 0.0000], [0.0000, 11.0715, 0.0000], [0.0000, 0.0000, 4.5808]],
  "species": ["K", "K", "K", "K", "Ba", "Ba", "Na", "Na", "Na", "Na"],
  "frac_coords": [[0.1676, 0.3324, 0.0000], [0.3324, 0.8324, 0.0000], [0.6676, 0.1676, 0.0000], [0.8324, 0.6676, 0.0000], [0.0000, 0.0000, 0.5000], [0.5000, 0.5000, 0.5000], [0.1286, 0.6286, 0.5000], [0.3714, 0.1286, 0.5000], [0.6286, 0.8714, 0.5000], [0.8714, 0.3714, 0.5000]]
}


Version x
{
  "formula": "K2BaNa2",
  "functional": "PBE-GGA",
  "state": "optimized geometry",
  "vol_a3_per_atom": 57.30,
  "dos_at_fermi_per_ev_fu": 3.66,
  "lattice_angstrom": [[8.2590, -2.2971, 0.0000], [8.2590, 2.2971, 0.0000], [-1.4580, 0.0000, 7.5511]],
  "species": ["K", "K", "Ba", "Na", "Na"],
  "frac_coords": [[0.1275, 0.1275, 0.0632], [0.8725, 0.8725, 0.9368], [0.5000, 0.5000, 0.5000], [0.2058, 0.2058, 0.6183], [0.7942, 0.7942, 0.3817]]
}


Which of them is the most stable? Correct choice: version x.


Version w
{
  "formula": "K3BaNa",
  "functional": "PBE-GGA",
  "state": "optimized geometry",
  "vol_a3_per_atom": 102.07,
  "dos_at_fermi_per_ev_fu": 8.02,
  "lattice_angstrom": [[7.9913, 0.0000, 0.0000], [0.0000, 7.9913, 0.0000], [0.0000, 0.0000, 7.9913]],
  "species": ["K", "K", "K", "Ba", "Na"],
  "frac_coords": [[0.0000, 0.0000, 0.5000], [0.0000, 0.5000, 0.0000], [0.5000, 0.0000, 0.0000], [0.0000, 0.0000, 0.0000], [0.5000, 0.5000, 0.5000]]
}


Version x
{
  "formula": "K3BaNa",
  "functional": "PBE-GGA",
  "state": "optimized geometry",
  "vol_a3_per_atom": 69.14,
  "dos_at_fermi_per_ev_fu": 6.22,
  "lattice_angstrom": [[7.0182, 0.0000, 0.0000], [0.0000, 7.0182, 0.0000], [0.0000, 0.0000, 7.0182]],
  "species": ["K", "K", "K", "Ba", "Na"],
  "frac_coords": [[0.0000, 0.0000, 0.5000], [0.0000, 0.5000, 0.0000], [0.5000, 0.0000, 0.0000], [0.5000, 0.5000, 0.5000], [0.0000, 0.0000, 0.0000]]
}


Which of them is the most stable? Correct choice: version x.